1.
A relaxed TiMnFeRh crystal. Source: Alexandria via LeMat-Bulk, functional GGA-PBE.

Lattice parameters (Å, degrees): 4.2331 4.2331 4.2331 60.00 60.00 60.00
With the nearest neighbours (Å) after each atom.
Sites, in units of the cell vectors:
Fe: 0.0000 0.0000 0.0000  4 Mn 2.59, 4 Ti 2.59
Ti: 0.2500 0.2500 0.2500  4 Fe 2.59, 4 Rh 2.59
Mn: 0.7500 0.7500 0.7500  4 Fe 2.59, 4 Rh 2.59
Rh: 0.5000 0.5000 0.5000  4 Ti 2.59, 4 Mn 2.59

Properties
- mass density (g/cm3) = 8.10
- energy of formation (eV per atom) = -0.30
- N(E_F) (states/eV/cell) = 2.9

=====

2.
A relaxed CaLaCo2 crystal. Source: Alexandria via LeMat-Bulk, functional GGA-PBE.

Lattice parameters (Å, degrees): 3.3381 3.3381 8.1635 90.00 90.00 90.00
With the nearest neighbours (Å) after each atom.
Sites, in units of the cell vectors:
La: 0.0000 0.0000 0.4096  1 Co 2.65
Co: 0.5000 0.5000 0.1735  4 Co 2.47
Co: 0.0000 0.0000 0.0855  4 Co 2.47, 1 La 2.65
Ca: 0.5000 0.5000 0.8315  1 Co 2.79

Properties
- mass density (g/cm3) = 5.42
- energy of formation (eV per atom) = 0.21
- N(E_F) (states/eV/cell) = 5.4

=====

3.
A relaxed AsIrOs2 crystal. Source: Alexandria via LeMat-Bulk, functional GGA-PBE.

Lattice parameters (Å, degrees): 2.8025 3.7058 5.7226 90.00 90.00 90.00
With the nearest neighbours (Å) after each atom.
Sites, in units of the cell vectors:
As: 0.5000 0.5000 0.2500  8 Os 2.75, 2 As 2.80, 2 Ir 2.86
Ir: 0.5000 0.5000 0.7500  8 Os 2.70, 2 Ir 2.80, 2 As 2.86
Os: 0.0000 0.0000 0.5083  4 Ir 2.70, 4 As 2.75, 4 Os 2.77-2.96
Os: 0.0000 0.0000 0.9917  4 Ir 2.70, 4 As 2.75, 4 Os 2.77-2.96

Properties
- mass density (g/cm3) = 18.09
- energy of formation (eV per atom) = 0.51
- N(E_F) (states/eV/cell) = 4.6

=====

4.
A relaxed BaZnGaPd3 crystal. Source: Alexandria via LeMat-Bulk, functional GGA-PBE.

Lattice parameters (Å, degrees): 6.0148 6.9167 7.2701 118.40 90.00 90.00
With the nearest neighbours (Å) after each atom.
Sites, in units of the cell vectors:
Pd: 0.7500 0.8072 0.6144  1 Ga 2.46, 1 Zn 2.51
Pd: 0.2500 0.1928 0.3856  1 Ga 2.46, 1 Zn 2.51
Pd: 0.5000 0.7074 0.0000  2 Zn 2.52, 2 Ga 2.54
Ga: 0.2500 0.3854 0.7708  5 Pd 2.46-2.54
Pd: 0.0000 0.7074 0.0000  2 Zn 2.52, 2 Ga 2.54
Pd: 0.0000 0.2926 0.0000  2 Zn 2.52, 2 Ga 2.54
Ba: 0.7500 0.2691 0.5382  4 Pd 3.16-3.49, 2 Ga 3.36, 1 Zn 3.40
Zn: 0.2500 0.9965 0.9930  5 Pd 2.51-2.52
Zn: 0.7500 0.0035 0.0070  5 Pd 2.51-2.52
Pd: 0.5000 0.2926 0.0000  2 Zn 2.52, 2 Ga 2.54
Ba: 0.2500 0.7309 0.4618  4 Pd 3.16-3.49, 2 Ga 3.36, 1 Zn 3.40
Ga: 0.7500 0.6146 0.2292  5 Pd 2.46-2.54

Properties
- mass density (g/cm3) = 7.39
- energy of formation (eV per atom) = -0.48
- N(E_F) (states/eV/cell) = 5.4

=====

5.
A relaxed ScTa2Os crystal. Source: Alexandria via LeMat-Bulk, functional GGA-PBE.

Lattice parameters (Å, degrees): 5.3870 5.3870 5.3870 137.36 137.36 61.89
With the nearest neighbours (Å) after each atom.
Sites, in units of the cell vectors:
Sc: 0.7500 0.2500 0.5000  8 Ta 2.77-3.03, 4 Os 3.03
Os: 0.5000 0.5000 0.0000  8 Ta 2.77-3.03, 4 Sc 3.03
Ta: 0.2500 0.7500 0.5000  4 Sc 2.77, 4 Ta 3.03, 4 Os 3.03
Ta: 0.0000 0.0000 0.0000  4 Os 2.77, 4 Sc 3.03, 4 Ta 3.03

Properties
- mass density (g/cm3) = 13.98
- energy of formation (eV per atom) = 0.11
- N(E_F) (states/eV/cell) = 5.4

=====

6.
A relaxed YInBr2 crystal. Source: Alexandria via LeMat-Bulk, functional GGA-PBE.

Lattice parameters (Å, degrees): 7.8673 7.8673 7.8673 153.94 142.07 46.60
With the nearest neighbours (Å) after each atom.
Sites, in units of the cell vectors:
In: 0.5774 0.5774 0.0000  2 Y 3.27, 2 Br 3.38, 2 In 3.55
Br: 0.2304 0.7304 0.5000  4 Y 3.16, 2 In 3.38
Y: 0.7679 0.2679 0.5000  6 Br 2.87-3.16
Br: 0.9243 0.9243 0.0000  2 Y 2.87

Properties
- mass density (g/cm3) = 4.61
- formation energy from raw total energies (eV/atom) = -0.8672
- N(E_F) (states/eV/cell) = 2.4

=====

7.
A relaxed K2Hf2Te5 crystal. Source: Alexandria via LeMat-Bulk, functional GGA-PBE.

Lattice parameters (Å, degrees): 5.6614 8.4998 8.7208 99.06 90.00 109.45
With the nearest neighbours (Å) after each atom.
Sites, in units of the cell vectors:
K: 0.6193 0.2386 0.3331  4 Te 3.54-3.86
Te: 0.1362 0.2725 0.5805  1 Hf 2.64
Hf: 0.1516 0.3031 0.8865  5 Te 2.64-2.90
Hf: 0.8484 0.6969 0.1135  5 Te 2.64-2.90
Te: 0.8638 0.7275 0.4195  1 Hf 2.64
Te: 0.6774 0.3547 0.9506  3 Hf 2.87-2.90
K: 0.3807 0.7614 0.6669  4 Te 3.54-3.86
Te: 0.0000 0.0000 0.0000  2 Hf 2.77
Te: 0.3226 0.6453 0.0494  3 Hf 2.87-2.90

Properties
- mass density (g/cm3) = 4.57
- formation energy from raw total energies (eV/atom) = -0.7911

=====

8.
A relaxed ScBi3Se crystal. Source: Alexandria via LeMat-Bulk, functional GGA-PBE.

Lattice parameters (Å, degrees): 5.5600 5.5600 5.5600 90.00 90.00 90.00
With the nearest neighbours (Å) after each atom.
Sites, in units of the cell vectors:
Se: 0.5000 0.5000 0.5000  12 Bi 3.93
Bi: 0.0000 0.5000 0.0000  2 Sc 2.78
Bi: 0.5000 0.0000 0.0000  2 Sc 2.78
Bi: 0.0000 0.0000 0.5000  2 Sc 2.78
Sc: 0.0000 0.0000 0.0000  6 Bi 2.78

Properties
- mass density (g/cm3) = 7.25
- formation energy from raw total energies (eV/atom) = 0.3384
- N(E_F) (states/eV/cell) = 8.7